First-principles (GGA-PBE) data for La2TbNd8 after structural relaxation, as listed in the Alexandria database.

Formation enthalpy at 0 K = 0.0152 eV/atom
Distance to the lowest polymorph of the same formula = 0 meV/atom
Uncorrected energy = -4.77 eV per atom

```
data_La2TbNd8
_symmetry_space_group_name_H-M 'C 1 2/m 1'
_symmetry_Int_Tables_number 12
_cell_length_a 18.7638
_cell_length_b 5.2145
_cell_length_c 8.2364
_cell_angle_alpha 90.00
_cell_angle_beta 105.24
_cell_angle_gamma 90.00
loop_
_symmetry_equiv_pos_as_xyz
'x,y,z'
'-x,-y,-z'
'-x,y,-z'
'x,-y,z'
'x+1/2,y+1/2,z'
'-x+1/2,-y+1/2,-z'
'-x+1/2,y+1/2,-z'
'x+1/2,-y+1/2,z'
loop_
_atom_site_label
_atom_site_type_symbol
_atom_site_fract_x
_atom_site_fract_y
_atom_site_fract_z
La1 La 0.2269 0.0000 0.1362
Tb1 Tb 0.0000 0.5000 0.5000
Nd1 Nd 0.0445 0.0000 0.2287
Nd2 Nd 0.0898 0.5000 0.9519
Nd3 Nd 0.1351 0.0000 0.6777
Nd4 Nd 0.1807 0.5000 0.4081
```